(1)
Below is Dy3Mg2CrS8 at its PBEsol-relaxed geometry, with properties calculated at the meta-GGA SCAN level.

Cell lengths 7.6879, 7.6879, 18.4840 Å; angles 90.00, 90.00, 120.00 degrees
Space group R-3m (No. 166, hexagonal axes)
Symmetry-distinct sites (fractional):
Dy  0.0000  0.5000  0.0000 x9
Mg  0.0000  0.0000  0.1250 x6
Cr  0.0000  0.0000  0.5000 x3
S  0.0000  0.0000  0.2546 x6
S  0.0290  0.5145  0.2430 x18

- crystal system = trigonal
- energy (eV per atom) = -19.66
- total magnetization (μB per cell) = 8.92

***

(2)
Below is DyMgCrS4 at its PBEsol-relaxed geometry, with properties calculated at the meta-GGA SCAN level.

Cell lengths 7.384, 7.555, 10.539 Å; angles 90.00, 90.00, 90.00 degrees
Space group Imma (No. 74)
Symmetry-distinct sites (fractional):
Dy  0.000  0.000  0.000 x4
Mg  0.000  0.250  0.375 x4
Cr  0.250  0.250  0.750 x4
S  0.000  0.036  0.745 x8
S  0.250  0.250  0.522 x8

- crystal system = orthorhombic
- energy (eV per atom) = -17.33
- total magnetization (μB per cell) = 11.96

***

(3)
Below is Er2CrS4 at its PBEsol-relaxed geometry, with properties calculated at the meta-GGA SCAN level.

Cell lengths 12.217, 7.315, 12.331 Å; angles 90.00, 90.00, 90.00 degrees
Space group Pca2_1 (No. 29)
Symmetry-distinct sites (fractional):
Er  0.106  0.115  0.000 x4
Er  0.128  0.616  0.638 x4
Er  0.133  0.375  0.304 x4
Er  0.135  0.874  0.305 x4
Cr  0.108  0.622  0.006 x4
Cr  0.127  0.124  0.636 x4
S  0.008  0.117  0.194 x4
S  0.022  0.634  0.180 x4
S  0.030  0.618  0.442 x4
S  0.048  0.133  0.454 x4
S  0.208  0.125  0.811 x4
S  0.208  0.622  0.837 x4
S  0.230  0.367  0.090 x4
S  0.232  0.870  0.087 x4

- crystal system = orthorhombic
- energy (eV per atom) = -24.43
- total magnetization (μB per cell) = 30.70